Density functional theory data (PBE-GGA) for Bi3S2O2 after structural relaxation.

The value obtained for the energy relative to the elements, uncorrected is -672.3 meV per atom. The total energy comes out at -4.931 eV per atom. The value obtained for the calculated volume is 151.3 Å³/cell.

a b c (Å): 4.0528 6.5757 7.1141
angles (deg): 121.22 90.03 107.91
With the nearest neighbours (Å) after each atom.
Element x y z (fractional)
1 Bi 0.0000 0.0000 0.0000  2 O 2.39
2 Bi 0.8073 0.6139 0.3423  3 O 2.36-2.38
3 Bi 0.1927 0.3861 0.6577  3 O 2.36-2.38
4 S 0.5973 0.1951 0.8590  5 Bi 2.82-3.07
5 S 0.4027 0.8049 0.1410  5 Bi 2.82-3.07
6 O 0.7931 0.5860 0.6604  4 Bi 2.36-2.39
7 O 0.2069 0.4140 0.3396  4 Bi 2.36-2.39


Density functional theory data (PBE-GGA) for CeNdSmIn after structural relaxation.

The total energy comes out at -4.629 eV per atom. The value obtained for the calculated volume is 117.7 Å³/cell.

a b c (Å): 5.5009 5.5009 5.5009
angles (deg): 60.00 60.00 60.00
With the nearest neighbours (Å) after each atom.
Element x y z (fractional)
1 Nd 0.5000 0.5000 0.5000  4 Ce 3.37, 4 In 3.37
2 Ce 0.7500 0.7500 0.7500  4 Nd 3.37, 4 Sm 3.37
3 Sm 0.0000 0.0000 0.0000  4 In 3.37, 4 Ce 3.37
4 In 0.2500 0.2500 0.2500  4 Nd 3.37, 4 Sm 3.37


Density functional theory data (PBE-GGA) for LaZn2CdPt2 after structural relaxation.

The total energy comes out at -4.104 eV per atom. The value obtained for the calculated volume is 119.4 Å³/cell.

a b c (Å): 4.4741 4.4741 6.8860
angles (deg): 90.00 90.00 120.00
With the nearest neighbours (Å) after each atom.
Element x y z (fractional)
1 La 0.0000 0.0000 0.0000  6 Pt 3.22, 6 Zn 3.36, 2 Cd 3.44
2 Zn 0.6667 0.3333 0.6887  4 Pt 2.59-2.82, 3 Cd 2.89
3 Zn 0.3333 0.6667 0.3113  4 Pt 2.59-2.82, 3 Cd 2.89
4 Cd 0.0000 0.0000 0.5000  6 Zn 2.89, 6 Pt 3.00
5 Pt 0.6667 0.3333 0.2794  4 Zn 2.59-2.82
6 Pt 0.3333 0.6667 0.7206  4 Zn 2.59-2.82


Density functional theory data (PBE-GGA) for Pr4MgZn3 after structural relaxation.

The total energy comes out at -3.314 eV per atom. The value obtained for the calculated volume is 212.4 Å³/cell.

a b c (Å): 3.7740 5.3031 10.6135
angles (deg): 90.00 90.00 90.00
With the nearest neighbours (Å) after each atom.
Element x y z (fractional)
1 Pr 0.0000 0.0000 0.5000  8 Zn 3.25-3.31
2 Pr 0.0000 0.5000 0.7389  6 Zn 3.16-3.26, 2 Mg 3.35
3 Pr 0.0000 0.0000 0.0000  4 Zn 3.20, 4 Mg 3.25
4 Pr 0.0000 0.5000 0.2611  6 Zn 3.16-3.26, 2 Mg 3.35
5 Mg 0.5000 0.5000 0.0000  8 Pr 3.25-3.35
6 Zn 0.5000 0.0000 0.2441  8 Pr 3.20-3.31
7 Zn 0.5000 0.5000 0.5000  8 Pr 3.16-3.25
8 Zn 0.5000 0.0000 0.7559  8 Pr 3.20-3.31


Density functional theory data (PBE-GGA) for Y2MnMo after structural relaxation.

The total energy comes out at -7.845 eV per atom. The value obtained for the calculated volume is 88.7 Å³/cell.

a b c (Å): 3.6108 3.6108 6.8024
angles (deg): 90.00 90.00 89.98
With the nearest neighbours (Å) after each atom.
Element x y z (fractional)
1 Mn 0.5000 0.5000 0.2500  8 Y 3.09, 2 Mo 3.40
2 Mo 0.5000 0.5000 0.7500  8 Y 3.04, 2 Mn 3.40
3 Y 0.0000 0.0000 0.9934  4 Mo 3.04, 4 Mn 3.09, 1 Y 3.31
4 Y 0.0000 0.0000 0.5066  4 Mo 3.04, 4 Mn 3.09, 1 Y 3.31


Density functional theory data (PBE-GGA) for ZrCuCl after structural relaxation.

The value obtained for the energy relative to the elements, uncorrected is -496.5 meV per atom. The total energy comes out at -5.327 eV per atom. The value obtained for the calculated volume is 66.7 Å³/cell.

a b c (Å): 3.2738 3.2738 7.1816
angles (deg): 90.00 90.00 120.00
With the nearest neighbours (Å) after each atom.
Element x y z (fractional)
1 Cu 0.6667 0.3333 0.3977  3 Zr 2.74
2 Zr 0.3333 0.6667 0.6733  3 Cl 2.63, 3 Cu 2.74
3 Cl 0.0000 0.0000 0.9290  3 Zr 2.63